Below is an optimized crystal structure of Ge3BPt, with properties calculated at the PBE level.

Structure (POSCAR):
```
Ge3BPt
1.0
4.861 0.000 0.000
0.000 4.861 0.000
0.000 0.000 4.861
Ge B Pt
3 1 1
Cartesian
0.000 2.431 0.000
0.000 0.000 2.431
2.431 0.000 0.000
2.431 2.431 2.431
0.000 0.000 0.000
```

Calculated values
- N(E_F): 5.50 states/eV per cell
- E_tot: -0.3045 Ry per atom
- Crystal system: cubic
- Formation enthalpy at 0 K: 1.17 eV/atom
- Offset from the most stable computed form: 0.6230 eV/atom
- Magnetization: 0.00 μB/cell

=====

Below is an optimized crystal structure of GeBPt5, with properties calculated at the PBE level.

Structure (POSCAR):
```
GeBPt5
1.0
5.342 -0.604 0.573
1.122 5.257 0.573
2.865 2.062 8.303
Ge B Pt
2 2 10
Cartesian
4.988 1.399 2.649
4.341 5.317 6.801
0.000 0.000 0.000
1.432 1.031 4.152
4.990 3.875 2.404
3.511 4.142 4.773
6.691 4.534 6.556
2.187 5.289 2.649
5.719 5.732 8.829
3.610 0.984 0.621
7.142 1.427 6.801
2.638 2.182 2.894
5.818 2.574 4.677
4.339 2.841 7.046
```

Calculated values
- N(E_F): 6.60 states/eV per cell
- E_tot: -0.4418 Ry per atom
- Crystal system: monoclinic
- Formation enthalpy at 0 K: -0.08 eV/atom
- Magnetization: 0.00 μB/cell

=====

Below is an optimized crystal structure of GeBPt2, with properties calculated at the PBE level.

Structure (POSCAR):
```
GeBPt2
1.0
0.000 3.014 3.014
3.014 0.000 3.014
3.014 3.014 0.000
Ge B Pt
1 1 2
Cartesian
3.014 3.014 3.014
0.000 0.000 0.000
1.507 1.507 1.507
4.521 4.521 4.521
```

Calculated values
- N(E_F): 1.95 states/eV per cell
- E_tot: -0.3999 Ry per atom
- Crystal system: cubic
- Formation enthalpy at 0 K: 0.40 eV/atom
- Offset from the most stable computed form: 0.5668 eV/atom
- Magnetization: 0.00 μB/cell

=====

Below is an optimized crystal structure of GeBPt, with properties calculated at the PBE level.

Structure (POSCAR):
```
GeBPt
1.0
2.912 0.000 0.000
1.456 2.710 0.000
1.456 0.000 5.581
Pt Ge B
1 1 1
Cartesian
1.456 0.000 5.260
1.456 0.000 2.109
2.912 0.000 3.794
```

Calculated values
- N(E_F): 0.85 states/eV per cell
- E_tot: -0.3937 Ry per atom
- Crystal system: orthorhombic
- Formation enthalpy at 0 K: 0.42 eV/atom
- Magnetization: 0.00 μB/cell

=====

Below is an optimized crystal structure of Ge2BPt2, with properties calculated at the PBE level.

Structure (POSCAR):
```
Ge2BPt2
1.0
3.954 0.000 0.000
0.000 3.954 0.000
1.977 1.977 5.602
Ge B Pt
2 1 2
Cartesian
1.977 1.977 1.229
3.954 3.954 4.372
0.000 0.000 0.000
3.954 1.977 2.801
1.977 3.954 2.801
```

Calculated values
- N(E_F): 2.02 states/eV per cell
- E_tot: -0.3683 Ry per atom
- Crystal system: tetragonal
- Formation enthalpy at 0 K: 0.59 eV/atom
- Offset from the most stable computed form: 0.0000 eV/atom
- Magnetization: 0.00 μB/cell

=====

Below is an optimized crystal structure of GeB2Pt, with properties calculated at the PBE level.

Structure (POSCAR):
```
GeB2Pt
1.0
4.823 0.000 0.000
0.000 4.823 0.000
2.412 2.412 4.913
Ge B Pt
2 4 2
Cartesian
2.412 2.412 0.000
2.412 4.823 2.456
3.664 1.206 1.228
1.159 3.618 1.228
3.618 3.571 3.685
6.029 6.076 3.685
0.000 0.000 0.000
4.823 2.412 2.456
```

Calculated values
- N(E_F): 1.41 states/eV per cell
- E_tot: -0.4170 Ry per atom
- Crystal system: tetragonal
- Formation enthalpy at 0 K: 0.33 eV/atom
- Magnetization: 0.00 μB/cell